VASP calculation (SCAN) on a PBEsol-optimized structure of YCdIn2.

Values from the calculation:
Crystal system   tetragonal
SG   No. 139
Final energy   -31.6285 eV per atom

Lattice parameters (Å, degrees): 4.4768 4.4768 9.5258 90.00 90.00 90.00
Atoms (fractional coordinates):
Y (0.0000, 0.0000, 0.0000)
Y (0.5000, 0.5000, 0.5000)
Cd (0.0000, 0.0000, 0.5000)
Cd (0.5000, 0.5000, 0.0000)
In (0.0000, 0.5000, 0.2500)
In (0.0000, 0.5000, 0.7500)
In (0.5000, 0.0000, 0.2500)
In (0.5000, 0.0000, 0.7500)

VASP calculation (SCAN) on a PBEsol-optimized structure of YCdIn2.

Values from the calculation:
Crystal system   tetragonal
SG   No. 123
Final energy   -31.7924 eV per atom

Lattice parameters (Å, degrees): 4.5352 4.5352 4.4638 90.00 90.00 90.00
Atoms (fractional coordinates):
Y (0.0000, 0.0000, 0.0000)
Cd (0.5000, 0.5000, 0.0000)
In (0.0000, 0.5000, 0.5000)
In (0.5000, 0.0000, 0.5000)

VASP calculation (SCAN) on a PBEsol-optimized structure of YCdIn3.

Values from the calculation:
Crystal system   cubic
SG   No. 221
Final energy   -31.0320 eV per atom

Lattice parameters (Å, degrees): 5.7829 5.7829 5.7829 90.00 90.00 90.00
Atoms (fractional coordinates):
Y (0.0000, 0.0000, 0.0000)
Cd (0.5000, 0.5000, 0.5000)
In (0.0000, 0.0000, 0.5000)
In (0.0000, 0.5000, 0.0000)
In (0.5000, 0.0000, 0.0000)

VASP calculation (SCAN) on a PBEsol-optimized structure of ZnCd2In.

Values from the calculation:
Crystal system   cubic
SG   No. 225
Final energy   -26.7382 eV per atom
Energy above the lowest structure with this stoichiometry   0.450 eV per formula unit

Lattice parameters (Å, degrees): 6.9599 6.9599 6.9599 90.00 90.00 90.00
Atoms (fractional coordinates):
Zn (0.0000, 0.0000, 0.0000)
Zn (0.0000, 0.5000, 0.5000)
Zn (0.5000, 0.0000, 0.5000)
Zn (0.5000, 0.5000, 0.0000)
Cd (0.2500, 0.2500, 0.2500)
Cd (0.2500, 0.2500, 0.7500)
Cd (0.2500, 0.7500, 0.2500)
Cd (0.2500, 0.7500, 0.7500)
Cd (0.7500, 0.2500, 0.2500)
Cd (0.7500, 0.2500, 0.7500)
Cd (0.7500, 0.7500, 0.2500)
Cd (0.7500, 0.7500, 0.7500)
In (0.0000, 0.0000, 0.5000)
In (0.0000, 0.5000, 0.0000)
In (0.5000, 0.0000, 0.0000)
In (0.5000, 0.5000, 0.5000)

VASP calculation (SCAN) on a PBEsol-optimized structure of Zn2CdIn.

Values from the calculation:
Crystal system   tetragonal
SG   No. 99
Final energy   -22.5957 eV per atom
Energy above the lowest structure with this stoichiometry   0.122 eV per formula unit

Lattice parameters (Å, degrees): 2.9845 2.9845 8.3706 90.00 90.00 90.00
Atoms (fractional coordinates):
Zn (0.0000, 0.0000, 0.0000)
Zn (0.5000, 0.5000, 0.1938)
Cd (0.0000, 0.0000, 0.4315)
In (0.5000, 0.5000, 0.7318)

VASP calculation (SCAN) on a PBEsol-optimized structure of ZnCd2In.

Values from the calculation:
Crystal system   tetragonal
SG   No. 119
Final energy   -26.8224 eV per atom
Energy above the lowest structure with this stoichiometry   0.114 eV per formula unit

Lattice parameters (Å, degrees): 4.3469 4.3469 8.5669 90.00 90.00 90.00
Atoms (fractional coordinates):
Zn (0.0000, 0.0000, 0.0000)
Zn (0.5000, 0.5000, 0.5000)
Cd (0.0000, 0.0000, 0.5000)
Cd (0.0000, 0.5000, 0.2500)
Cd (0.5000, 0.0000, 0.7500)
Cd (0.5000, 0.5000, 0.0000)
In (0.0000, 0.5000, 0.7500)
In (0.5000, 0.0000, 0.2500)

Going through the records in order, we get M_tot values of 0.0, 0.0, 0.0, 0.0, 0.0, 0.0 μB per cell.
Going through the records in order, we get E_form values of -0.37, -0.53, 0.65, 0.19, 0.11, 0.11 eV/atom.